[1]
## KCdSn (PBE-GGA)

Data for a relaxed structure of KCdSn.

Unit cell a=5.3648 b=5.2882 c=7.9721 alpha=87.74 beta=81.72 gamma=60.78
Fractional positions:
1 K 0.6984 0.1555 0.3744
2 K 0.3016 0.8445 0.6256
3 Cd 0.5864 0.1928 0.8780
4 Cd 0.4136 0.8072 0.1220
5 Sn 0.9141 0.5257 0.8250
6 Sn 0.0859 0.4743 0.1750

Values from the calculation:
Volume   32.53 A^3/atom
Total DFT energy (no corrections)   -12.81 eV for the cell shown
DOS at the Fermi energy   0.78 states/eV per cell
Energy relative to the elements   -0.130 eV/atom

[2]
## KCdSn (PBE-GGA)

Data for a relaxed structure of KCdSn.

Unit cell a=8.8869 b=6.9818 c=6.6160 alpha=88.09 beta=87.42 gamma=106.74
Fractional positions:
1 Cd 0.3986 0.9039 0.1834
2 Cd 0.7966 0.5639 0.4996
3 Cd 0.6014 0.0961 0.8166
4 Cd 0.2034 0.4360 0.5004
5 K 0.1502 0.8946 0.6829
6 K 0.6929 0.6510 0.0076
7 K 0.8498 0.1054 0.3171
8 K 0.3071 0.3490 0.9924
9 Sn 0.0582 0.6298 0.1799
10 Sn 0.5198 0.7322 0.5407
11 Sn 0.9418 0.3702 0.8201
12 Sn 0.4802 0.2678 0.4593

Values from the calculation:
Volume   32.69 A^3/atom
Total DFT energy (no corrections)   -25.87 eV for the cell shown
DOS at the Fermi energy   5.77 states/eV per cell
Energy relative to the elements   -0.150 eV/atom

[3]
## KCd4Sn (PBE-GGA)

Data for a relaxed structure of KCd4Sn.

Unit cell a=4.7030 b=7.8072 c=9.3667 alpha=90.00 beta=104.54 gamma=90.00
Fractional positions:
1 K 0.1206 0.2500 0.2413
2 K 0.8794 0.7500 0.7587
3 Cd 0.5000 0.5000 0.0000
4 Cd 0.5000 0.0000 0.0000
5 Cd 0.6647 0.9424 0.3295
6 Cd 0.3353 0.0576 0.6705
7 Cd 0.3353 0.4424 0.6705
8 Cd 0.6647 0.5576 0.3295
9 Cd 0.0660 0.7500 0.1320
10 Cd 0.9340 0.2500 0.8680
11 Sn 0.2358 0.7500 0.4715
12 Sn 0.7642 0.2500 0.5285

Values from the calculation:
Volume   27.74 A^3/atom
Total DFT energy (no corrections)   -18.11 eV for the cell shown
DOS at the Fermi energy   4.24 states/eV per cell
Energy relative to the elements   -0.049 eV/atom

[4]
## KCdSn (PBE-GGA)

Data for a relaxed structure of KCdSn.

Unit cell a=4.0412 b=5.1923 c=5.1923 alpha=120.00 beta=90.00 gamma=90.00
Fractional positions:
1 K 0.6669 0.6667 0.3333
2 Sn 0.1665 0.3333 0.6667
3 Cd 0.1666 0.0000 0.0000

Values from the calculation:
Volume   31.45 A^3/atom
Total DFT energy (no corrections)   -6.48 eV for the cell shown
DOS at the Fermi energy   0.98 states/eV per cell
Energy relative to the elements   -0.155 eV/atom